Crystalline CaReTe at its relaxed geometry. Source: Alexandria via LeMat-Bulk, functional GGA-PBE.

## Properties
As for the space group: P-6m2, No. 187. The uncorrected formation energy is 228 meV per atom. The value obtained for the total moment is 0.000 μB/cell. The value obtained for the calculated volume is 69.5 Å³/cell. The density of states at the Fermi level is 2.39 states/eV/cell.

The structure in POSCAR format:
```
CaReTe
1.0
4.5616 0.0000 0.0000
-2.2808 3.9505 0.0000
0.0000 0.0000 3.8548
Ca Re Te
1 1 1
direct
0.0000 0.0000 0.0000 Ca
0.3333 0.6667 0.5000 Re
0.6667 0.3333 0.5000 Te
```

Crystalline Ca2ReTe4 at its relaxed geometry. Source: Alexandria via LeMat-Bulk, functional GGA-PBE.

## Properties
As for the space group: I4/mmm, No. 139. The uncorrected formation energy is -362 meV per atom. The value obtained for the total moment is 5.776 μB/cell. The value obtained for the calculated volume is 457.5 Å³/cell. The density of states at the Fermi level is 8.02 states/eV/cell.

The structure in POSCAR format:
```
Ca2ReTe4
1.0
5.4434 0.0000 0.0000
0.0000 5.4434 0.0000
0.0000 0.0000 15.4412
Ca Re Te
4 2 8
direct
0.0000 0.0000 0.1271 Ca
0.0000 0.0000 0.8729 Ca
0.5000 0.5000 0.3729 Ca
0.5000 0.5000 0.6271 Ca
0.0000 0.0000 0.5000 Re
0.5000 0.5000 0.0000 Re
0.0000 0.0000 0.3235 Te
0.0000 0.0000 0.6765 Te
0.0000 0.5000 0.0000 Te
0.0000 0.5000 0.5000 Te
0.5000 0.0000 0.0000 Te
0.5000 0.0000 0.5000 Te
0.5000 0.5000 0.1765 Te
0.5000 0.5000 0.8235 Te
```

Crystalline CaReTe2W at its relaxed geometry. Source: Alexandria via LeMat-Bulk, functional GGA-PBE.

## Properties
As for the space group: P4/mmm, No. 123. The uncorrected formation energy is 1460 meV per atom. The value obtained for the total moment is 4.161 μB/cell. The value obtained for the calculated volume is 146.3 Å³/cell. The density of states at the Fermi level is 4.15 states/eV/cell.

The structure in POSCAR format:
```
CaReTe2W
1.0
5.1600 0.0000 0.0000
0.0000 5.1600 0.0000
0.0000 0.0000 5.4958
Ca Re Te W
1 1 2 1
direct
0.0000 0.0000 0.0000 Ca
0.0000 0.0000 0.5000 Re
0.0000 0.5000 0.5000 Te
0.5000 0.0000 0.5000 Te
0.5000 0.5000 0.0000 W
```

Crystalline CaTh2Re at its relaxed geometry. Source: Alexandria via LeMat-Bulk, functional GGA-PBE.

## Properties
As for the space group: R-3m, No. 166. The value obtained for the total moment is 0.000 μB/cell. The value obtained for the calculated volume is 472.3 Å³/cell. The density of states at the Fermi level is 12.70 states/eV/cell. The formation energy is 0.32 eV per atom.

The structure in POSCAR format:
```
CaTh2Re
1.0
4.1236 0.0000 0.0000
-2.0618 3.5712 0.0000
0.0000 0.0000 32.0705
Ca Th Re
3 6 3
direct
0.0000 0.0000 0.0000 Ca
0.3333 0.6667 0.6667 Ca
0.6667 0.3333 0.3333 Ca
0.0000 0.0000 0.1201 Th
0.0000 0.0000 0.8799 Th
0.3333 0.6667 0.5466 Th
0.3333 0.6667 0.7867 Th
0.6667 0.3333 0.2133 Th
0.6667 0.3333 0.4534 Th
0.0000 0.0000 0.5000 Re
0.3333 0.6667 0.1667 Re
0.6667 0.3333 0.8333 Re
```

Crystalline CaTh2Re at its relaxed geometry. Source: Alexandria via LeMat-Bulk, functional GGA-PBE.

## Properties
As for the space group: P4/mmm, No. 123. The value obtained for the total moment is 0.000 μB/cell. The value obtained for the calculated volume is 122.7 Å³/cell. The density of states at the Fermi level is 4.66 states/eV/cell. The formation energy is 0.12 eV per atom.

The structure in POSCAR format:
```
CaTh2Re
1.0
3.5062 0.0000 0.0000
0.0000 3.5062 0.0000
0.0000 0.0000 9.9772
Ca Th Re
1 2 1
direct
0.0000 0.0000 0.0000 Ca
0.5000 0.5000 0.3222 Th
0.5000 0.5000 0.6778 Th
0.0000 0.0000 0.5000 Re
```

Crystalline CaTi2Re at its relaxed geometry. Source: Alexandria via LeMat-Bulk, functional GGA-PBE.

## Properties
As for the space group: I4_1/amd, No. 141. The value obtained for the total moment is 0.000 μB/cell. The value obtained for the calculated volume is 413.6 Å³/cell. The density of states at the Fermi level is 23.22 states/eV/cell. The formation energy is 1.00 eV per atom.

The structure in POSCAR format:
```
CaTi2Re
1.0
4.8998 0.0000 0.0000
0.0000 4.8998 0.0000
0.0000 0.0000 17.2260
Ca Ti Re
4 8 4
direct
0.0000 0.2500 0.3750 Ca
0.0000 0.7500 0.6250 Ca
0.5000 0.2500 0.1250 Ca
0.5000 0.7500 0.8750 Ca
0.0000 0.0000 0.0000 Ti
0.0000 0.5000 0.0000 Ti
0.2500 0.2500 0.7500 Ti
0.2500 0.7500 0.2500 Ti
0.5000 0.0000 0.5000 Ti
0.5000 0.5000 0.5000 Ti
0.7500 0.2500 0.7500 Ti
0.7500 0.7500 0.2500 Ti
0.0000 0.2500 0.8750 Re
0.0000 0.7500 0.1250 Re
0.5000 0.2500 0.6250 Re
0.5000 0.7500 0.3750 Re
```

Crystalline CaTi3Re at its relaxed geometry. Source: Alexandria via LeMat-Bulk, functional GGA-PBE.

## Properties
As for the space group: Pm-3m, No. 221. The value obtained for the total moment is 1.632 μB/cell. The value obtained for the calculated volume is 115.6 Å³/cell. The density of states at the Fermi level is 6.20 states/eV/cell. The formation energy is 0.41 eV per atom.

The structure in POSCAR format:
```
CaTi3Re
1.0
4.8710 0.0000 0.0000
0.0000 4.8710 0.0000
0.0000 0.0000 4.8710
Ca Ti Re
1 3 1
direct
0.0000 0.0000 0.0000 Ca
0.0000 0.5000 0.5000 Ti
0.5000 0.0000 0.5000 Ti
0.5000 0.5000 0.0000 Ti
0.5000 0.5000 0.5000 Re
```

Crystalline CaTi2Re at its relaxed geometry. Source: Alexandria via LeMat-Bulk, functional GGA-PBE.

## Properties
As for the space group: Fm-3m, No. 225. The value obtained for the total moment is 0.000 μB/cell. The value obtained for the calculated volume is 290.2 Å³/cell. The density of states at the Fermi level is 15.67 states/eV/cell. The formation energy is 0.29 eV per atom.

The structure in POSCAR format:
```
CaTi2Re
1.0
6.6208 0.0000 0.0000
0.0000 6.6208 0.0000
0.0000 0.0000 6.6208
Ca Ti Re
4 8 4
direct
0.0000 0.0000 0.0000 Ca
0.0000 0.5000 0.5000 Ca
0.5000 0.0000 0.5000 Ca
0.5000 0.5000 0.0000 Ca
0.2500 0.2500 0.2500 Ti
0.2500 0.2500 0.7500 Ti
0.2500 0.7500 0.2500 Ti
0.2500 0.7500 0.7500 Ti
0.7500 0.2500 0.2500 Ti
0.7500 0.2500 0.7500 Ti
0.7500 0.7500 0.2500 Ti
0.7500 0.7500 0.7500 Ti
0.0000 0.0000 0.5000 Re
0.0000 0.5000 0.0000 Re
0.5000 0.0000 0.0000 Re
0.5000 0.5000 0.5000 Re
```